KMoOs3: relaxed, GGA-PBE.

Lattice parameters (Å, degrees): 4.8077 4.8077 4.8077 90.00 90.00 90.00
Sites, in units of the cell vectors:
K 0.0000 0.0000 0.0000
Mo 0.5000 0.5000 0.5000
Os 0.0000 0.5000 0.5000
Os 0.5000 0.0000 0.5000
Os 0.5000 0.5000 0.0000

Values from the calculation:
ΔE_f = 2.038 eV/atom
ΔE to the lowest computed polymorph = 0 meV per atom
VASP energy = -35.426 eV per cell
symmetry = Pm-3m, No. 221

***

KMo3Os: relaxed, GGA-PBE.

Lattice parameters (Å, degrees): 4.4026 4.4026 4.4026 90.00 90.00 90.00
Sites, in units of the cell vectors:
K 0.0000 0.0000 0.0000
Mo 0.0000 0.0000 0.5000
Mo 0.0000 0.5000 0.0000
Mo 0.5000 0.0000 0.0000
Os 0.5000 0.5000 0.5000

Values from the calculation:
ΔE_f = 3.217 eV/atom
ΔE to the lowest computed polymorph = 1543 meV per atom
VASP energy = -28.736 eV per cell
symmetry = Pm-3m, No. 221

***

KMoOs2: relaxed, GGA-PBE.

Lattice parameters (Å, degrees): 2.7465 2.7465 10.2830 90.00 90.00 115.61
Sites, in units of the cell vectors:
K 0.0000 0.0000 0.0000
Mo 0.0000 0.0000 0.5000
Os 0.5000 0.5000 0.2849
Os 0.5000 0.5000 0.7151

Values from the calculation:
ΔE_f = 0.809 eV/atom
ΔE to the lowest computed polymorph = 145 meV per atom
VASP energy = -31.152 eV per cell
symmetry = Cmmm, No. 65

***

K2MoOs2: relaxed, GGA-PBE.

Lattice parameters (Å, degrees): 8.4964 8.4964 8.4964 155.87 155.87 34.39
Sites, in units of the cell vectors:
K 0.2500 0.7500 0.5000
K 0.7500 0.2500 0.5000
Mo 0.0000 0.0000 0.0000
Os 0.4240 0.4240 0.0000
Os 0.5760 0.5760 0.0000

Values from the calculation:
ΔE_f = 1.821 eV/atom
ΔE to the lowest computed polymorph = 817 meV per atom
VASP energy = -26.379 eV per cell
symmetry = I4/mmm, No. 139

***

KMoOs2: relaxed, GGA-PBE.

Lattice parameters (Å, degrees): 4.5620 4.5620 4.5620 60.00 60.00 60.00
Sites, in units of the cell vectors:
K 0.0000 0.0000 0.0000
Mo 0.5000 0.5000 0.5000
Os 0.2500 0.2500 0.2500
Os 0.7500 0.7500 0.7500

Values from the calculation:
ΔE_f = 1.475 eV/atom
ΔE to the lowest computed polymorph = 811 meV per atom
VASP energy = -28.488 eV per cell
symmetry = Fm-3m, No. 225

***

KMoOs: relaxed, GGA-PBE.

Lattice parameters (Å, degrees): 7.5227 7.5227 7.5227 156.15 156.15 33.99
Sites, in units of the cell vectors:
K 0.0000 0.0000 0.0000
Mo 0.2763 0.2763 0.0000
Os 0.6895 0.6895 0.0000

Values from the calculation:
ΔE_f = 0.871 eV/atom
ΔE to the lowest computed polymorph = 0 meV per atom
VASP energy = -20.545 eV per cell
symmetry = I4mm, No. 107

***

KMoOs2: relaxed, GGA-PBE.

Lattice parameters (Å, degrees): 4.5303 4.5303 4.5303 60.00 60.00 60.00
Sites, in units of the cell vectors:
K 0.0000 0.0000 0.0000
Mo 0.2500 0.2500 0.2500
Os 0.5000 0.5000 0.5000
Os 0.7500 0.7500 0.7500

Values from the calculation:
ΔE_f = 1.485 eV/atom
ΔE to the lowest computed polymorph = 821 meV per atom
VASP energy = -28.447 eV per cell
symmetry = F-43m, No. 216

***

KMoOs: relaxed, GGA-PBE.

Lattice parameters (Å, degrees): 5.2276 5.2276 5.2276 150.36 113.62 74.35
Sites, in units of the cell vectors:
K 0.0000 0.0000 0.0000
Mo 0.6381 0.6381 0.0000
Os 0.3659 0.3659 0.0000

Values from the calculation:
ΔE_f = 1.469 eV/atom
ΔE to the lowest computed polymorph = 598 meV per atom
VASP energy = -18.751 eV per cell
symmetry = Imm2, No. 44

***

Copy entry 2 word for word.
KMo3Os: relaxed, GGA-PBE.

Lattice parameters (Å, degrees): 4.4026 4.4026 4.4026 90.00 90.00 90.00
Sites, in units of the cell vectors:
K 0.0000 0.0000 0.0000
Mo 0.0000 0.0000 0.5000
Mo 0.0000 0.5000 0.0000
Mo 0.5000 0.0000 0.0000
Os 0.5000 0.5000 0.5000

Values from the calculation:
ΔE_f = 3.217 eV/atom
ΔE to the lowest computed polymorph = 1543 meV per atom
VASP energy = -28.736 eV per cell
symmetry = Pm-3m, No. 221